VASP calculation (GGA-PBE) on a geometry-optimized K15Tl structure.

Summary:
As for the density: 1.24 Mg/m³. The calculation puts the calculated total energy at -1.1620 eV per atom. The value obtained for the density of states at the Fermi level is 0.78 states/eV/atom. As for the formation enthalpy at 0 K: 0.01 eV per atom.

a = 9.1215 Å, b = 9.1215 Å, c = 14.7281 Å
α = 90.00°, β = 90.00°, γ = 120.00°
Space group P-6m2 (No. 187)
One atom of each set of equivalent atoms:
1 K 0.0000 0.0000 0.0000 x1
2 K 0.0085 0.5043 0.5000 x3
3 K 0.3175 0.1588 0.2708 x6
4 K 0.3333 0.6667 0.2403 x2
5 K 0.5039 0.0078 0.0000 x3
6 Tl 0.0000 0.0000 0.5000 x1

=====

VASP calculation (GGA-PBE) on a geometry-optimized KTl structure.

Summary:
As for the density: 4.07 Mg/m³. The calculation puts the calculated total energy at -1.7236 eV per atom. The value obtained for the density of states at the Fermi level is 0.67 states/eV/atom. As for the formation enthalpy at 0 K: 0.01 eV per atom.

a = 4.513 Å, b = 4.513 Å, c = 9.757 Å
α = 90.00°, β = 90.00°, γ = 90.00°
Space group P4/nmm (No. 129, origin choice 2)
One atom of each set of equivalent atoms:
1 K 0.250 0.250 0.184 x2
2 Tl 0.250 0.750 0.500 x2

=====

VASP calculation (GGA-PBE) on a geometry-optimized KTl5 structure.

Summary:
As for the density: 9.18 Mg/m³. The calculation puts the calculated total energy at -2.1989 eV per atom. As for the distance to the lowest polymorph of the same formula: 6 meV/atom. The value obtained for the density of states at the Fermi level is 0.24 states/eV/atom. As for the formation enthalpy at 0 K: -0.04 eV per atom.

a = 6.1646 Å, b = 6.1646 Å, c = 5.8321 Å
α = 90.00°, β = 90.00°, γ = 120.00°
Space group P-62m (No. 189)
One atom of each set of equivalent atoms:
1 K 0.0000 0.0000 0.0000 x1
2 Tl 0.0000 0.6419 0.5000 x3
3 Tl 0.3333 0.6667 0.0000 x2

=====

Number 1: spin magnetization 0.0 μB/cell. Number 2: spin magnetization 0.0 μB/cell. Number 3: spin magnetization 0.0 μB/cell.